No. 1
BeMoPd PBE optimized geometry; formation enthalpy at 0 K = -0.113 eV per atom; total magnetic moment = 0.000 μB/atom
1.0
-2.275 2.876 2.958
2.275 -2.876 2.958
2.275 2.876 -2.958
Be Mo Pd
2 2 2
direct
0.000 0.000 0.000
0.000 0.500 0.500
0.514 0.410 0.604
0.806 0.910 0.396
0.177 0.579 0.098
0.481 0.079 0.902

No. 2
Ac2NdTl3S6 PBE optimized geometry; E_form (uncorrected) = -1.48 eV per atom; total magnetic moment = 0.000 μB/atom
1.0
3.770 -6.525 0.000
3.770 6.525 0.000
-2.510 0.000 7.454
Ac Nd Tl S
2 1 3 6
direct
0.167 0.833 0.000
0.833 0.167 0.000
0.500 0.500 0.000
0.000 0.000 0.500
0.335 0.665 0.500
0.665 0.335 0.500
0.109 0.431 0.793
0.248 0.248 0.210
0.431 0.109 0.793
0.569 0.891 0.207
0.752 0.752 0.790
0.891 0.569 0.207

No. 3
CePt5Pb PBE optimized geometry; formation enthalpy at 0 K = -0.541 eV per atom; total magnetic moment = 0.059 μB/atom
1.0
9.005 0.000 0.000
0.000 5.435 0.000
0.000 0.000 11.137
Ce Pt Pb
4 20 4
direct
0.250 0.250 0.063
0.250 0.750 0.563
0.750 0.250 0.437
0.750 0.750 0.937
0.041 0.250 0.585
0.056 0.750 0.007
0.076 0.502 0.798
0.076 0.998 0.798
0.185 0.750 0.225
0.315 0.250 0.725
0.424 0.002 0.298
0.424 0.498 0.298
0.444 0.250 0.507
0.459 0.750 0.085
0.541 0.250 0.915
0.556 0.750 0.493
0.576 0.502 0.702
0.576 0.998 0.702
0.685 0.750 0.275
0.815 0.250 0.775
0.924 0.002 0.202
0.924 0.498 0.202
0.944 0.250 0.993
0.959 0.750 0.415
0.144 0.250 0.358
0.356 0.750 0.858
0.644 0.250 0.142
0.856 0.750 0.642

No. 4
InRe2W PBE optimized geometry; formation enthalpy at 0 K = 0.476 eV per atom; total magnetic moment = 0.000 μB/atom
1.0
2.831 0.000 0.000
0.000 4.211 0.000
-0.790 0.000 5.622
In Re W
1 2 1
direct
0.000 0.000 0.000
0.407 0.500 0.727
0.593 0.500 0.273
0.000 0.000 0.500

No. 5
CoCuP2 PBE optimized geometry; formation enthalpy at 0 K = -0.112 eV per atom; total magnetic moment = 0.071 μB/atom
1.0
3.442 0.000 0.000
0.000 1.279 6.230
0.000 -1.279 6.230
Co Cu P
1 1 2
direct
0.000 0.000 0.000
0.500 0.762 0.762
0.000 0.349 0.349
0.500 0.574 0.574

No. 6
Pm2BS5 PBE optimized geometry; E_form (uncorrected) = -1.27 eV per atom; total magnetic moment = 0.000 μB/atom
1.0
3.910 -4.595 0.000
3.910 4.595 0.000
-3.201 0.000 4.595
Pm B S
2 1 5
direct
0.229 0.771 0.000
0.771 0.229 0.000
0.482 0.482 0.373
0.235 0.606 0.460
0.298 0.298 0.948
0.606 0.235 0.460
0.784 0.784 0.559
0.800 0.800 0.080

Uncorrected energy for every record listed, in sequence, given in hartree per atom: -0.246 -0.192 -0.229 -0.355 -0.206 -0.216.